1.
Computed, not measured: a relaxed structure of LaGa3I6 at the PBE level of DFT.

Lattice parameters (Å, degrees): 8.1264 8.8461 11.9141 90.00 89.04 90.00
Last column: nearest neighbours and their distance in Å.
Sites, in units of the cell vectors:
1 La 0.5000 0.5000 0.5000  6 I 3.17-3.19
2 La 0.0000 0.0000 0.0000  6 I 3.17-3.19
3 Ga 0.4882 0.1095 0.7000  5 I 3.29-3.36
4 Ga 0.5000 0.5000 0.0000  6 I 3.26-3.37
5 Ga 0.5118 0.8905 0.3000  5 I 3.29-3.36
6 Ga 0.9882 0.3905 0.2000  5 I 3.29-3.36
7 Ga 0.0000 0.0000 0.5000  6 I 3.26-3.37
8 Ga 0.0118 0.6095 0.8000  5 I 3.29-3.36
9 I 0.3121 0.8180 0.9123  1 La 3.17, 2 Ga 3.35-3.37
10 I 0.3429 0.8228 0.5483  1 La 3.18, 3 Ga 3.26-3.34
11 I 0.3534 0.5493 0.2558  1 La 3.19, 3 Ga 3.28-3.36
12 I 0.6466 0.4507 0.7442  1 La 3.19, 3 Ga 3.28-3.36
13 I 0.6571 0.1772 0.4517  1 La 3.18, 3 Ga 3.26-3.34
14 I 0.6879 0.1820 0.0877  1 La 3.17, 2 Ga 3.35-3.37
15 I 0.8121 0.6820 0.4123  1 La 3.17, 2 Ga 3.35-3.37
16 I 0.8429 0.6772 0.0483  1 La 3.18, 3 Ga 3.26-3.34
17 I 0.8534 0.9507 0.7558  1 La 3.19, 3 Ga 3.28-3.36
18 I 0.1466 0.0493 0.2442  1 La 3.19, 3 Ga 3.28-3.36
19 I 0.1571 0.3228 0.9517  1 La 3.18, 3 Ga 3.26-3.34
20 I 0.1879 0.3180 0.5877  1 La 3.17, 2 Ga 3.35-3.37

Summary:
Raw total energy = -3.117 eV/atom
E_form (uncorrected) = -18.1 kcal/mol of atoms
Symmetry = P2_1/c (14)

---

2.
Computed, not measured: a relaxed structure of LaGa2I8 at the PBE level of DFT.

Lattice parameters (Å, degrees): 7.3736 9.0822 9.0822 78.14 81.36 81.36
Last column: nearest neighbours and their distance in Å.
Sites, in units of the cell vectors:
1 La 0.0000 0.0000 0.0000  6 I 3.19-3.21
2 Ga 0.6759 0.7928 0.7928  4 I 2.59-2.74
3 Ga 0.3241 0.2072 0.2072  4 I 2.59-2.74
4 I 0.2251 0.2857 0.9209  1 Ga 2.73
5 I 0.7749 0.0791 0.7143  1 Ga 2.73
6 I 0.3008 0.8019 0.8019  1 Ga 2.74
7 I 0.6992 0.1981 0.1981  1 Ga 2.74
8 I 0.2251 0.9209 0.2857  1 Ga 2.73
9 I 0.7749 0.7143 0.0791  1 Ga 2.73
10 I 0.8459 0.6143 0.6143  1 Ga 2.59
11 I 0.1541 0.3857 0.3857  1 Ga 2.59

Summary:
Raw total energy = -2.898 eV/atom
E_form (uncorrected) = -17.8 kcal/mol of atoms
Symmetry = C2/m (12)

---

3.
Computed, not measured: a relaxed structure of LaGa2I5 at the PBE level of DFT.

Lattice parameters (Å, degrees): 8.3222 12.1369 9.0200 66.10 62.53 69.95
Last column: nearest neighbours and their distance in Å.
Sites, in units of the cell vectors:
1 La 0.9510 0.7834 0.3148  6 I 3.15-3.25
2 La 0.9508 0.2834 0.8148  6 I 3.15-3.25
3 Ga 0.5847 0.5801 0.2965  5 I 3.09-3.40
4 Ga 0.3175 0.9872 0.3321  5 I 3.09-3.40
5 Ga 0.5387 0.0801 0.7965  5 I 3.09-3.40
6 Ga 0.3633 0.4872 0.8321  5 I 3.09-3.40
7 I 0.7197 0.3263 0.5914  1 La 3.17, 3 Ga 3.26-3.40
8 I 0.9775 0.6380 0.0814  2 Ga 3.09-3.37, 1 La 3.15
9 I 0.1824 0.2407 0.0376  1 La 3.17, 3 Ga 3.27-3.40
10 I 0.3626 0.8263 0.0914  1 La 3.17, 3 Ga 3.26-3.40
11 I 0.3030 0.1380 0.5814  2 Ga 3.09-3.37, 1 La 3.15
12 I 0.5393 0.7407 0.5376  1 La 3.17, 3 Ga 3.27-3.40
13 I 0.5986 0.4291 0.0476  2 Ga 3.09-3.37, 1 La 3.15
14 I 0.9247 0.9291 0.5476  2 Ga 3.09-3.37, 1 La 3.15
15 I 0.7882 0.0335 0.0647  2 La 3.25, 2 Ga 3.63
16 I 0.1136 0.5335 0.5647  2 La 3.25, 2 Ga 3.63

Summary:
Raw total energy = -3.259 eV/atom
E_form (uncorrected) = -21.1 kcal/mol of atoms
Symmetry = C2/c (15)

---

4.
Computed, not measured: a relaxed structure of La5Ga2I2 at the PBE level of DFT.

Lattice parameters (Å, degrees): 8.3148 8.4373 9.1125 117.58 90.00 90.00
Last column: nearest neighbours and their distance in Å.
Sites, in units of the cell vectors:
1 La 0.0000 0.0000 0.0000  2 I 3.28, 4 Ga 3.31-3.36
2 La 0.5000 0.5000 0.0000  2 I 3.28, 4 Ga 3.31-3.36
3 La 0.8312 0.8008 0.2562  3 Ga 3.20-3.24, 3 I 3.33-3.40
4 La 0.1688 0.4555 0.2562  3 Ga 3.20-3.24, 3 I 3.33-3.40
5 La 0.3312 0.9555 0.2562  3 Ga 3.20-3.24, 3 I 3.33-3.40
6 La 0.6688 0.3008 0.2562  3 Ga 3.20-3.24, 3 I 3.33-3.40
7 La 0.1688 0.1992 0.7438  3 Ga 3.20-3.24, 3 I 3.33-3.40
8 La 0.8312 0.5445 0.7438  3 Ga 3.20-3.24, 3 I 3.33-3.40
9 La 0.6688 0.0445 0.7438  3 Ga 3.20-3.24, 3 I 3.33-3.40
10 La 0.3312 0.6992 0.7438  3 Ga 3.20-3.24, 3 I 3.33-3.40
11 Ga 0.6203 0.8804 0.0000  1 Ga 2.84
12 Ga 0.3797 0.1196 0.0000  1 Ga 2.84
13 Ga 0.1203 0.6196 0.0000  1 Ga 2.84
14 Ga 0.8797 0.3804 0.0000  1 Ga 2.84
15 I 0.0000 0.2031 0.4061  7 La 3.28-3.40
16 I 0.5000 0.7031 0.4061  7 La 3.28-3.40
17 I 0.0000 0.7969 0.5939  7 La 3.28-3.40
18 I 0.5000 0.2969 0.5939  7 La 3.28-3.40

Summary:
Raw total energy = -4.484 eV/atom
E_form (uncorrected) = -16.8 kcal/mol of atoms
Symmetry = Cmce (64)

---

Which of these has the highest E_form (uncorrected)?
La5Ga2I2